# ErSnRuPt GGA-PBE optimized geometry
data_ErSnRuPt
_space_group_name_H-M_alt 'F -4 3 m'
_space_group_IT_number 216
_space_group_name_Hall 'F -4 2 3'
_cell_length_a 6.668
_cell_length_b 6.668
_cell_length_c 6.668
_cell_angle_alpha 90.00
_cell_angle_beta 90.00
_cell_angle_gamma 90.00
loop_
_atom_site_label
_atom_site_type_symbol
_atom_site_fract_x
_atom_site_fract_y
_atom_site_fract_z
Er1 Er 0.000 0.000 0.000
Sn1 Sn 0.000 0.000 0.500
Ru1 Ru 0.250 0.250 0.750
Pt1 Pt 0.250 0.250 0.250
# Formation energy ... -0.602 eV per atom